(1)
CaAu3: relaxed, GGA-PBE.

Uncorrected energy in eV per cell: -55.7
DFT formation energy in eV per atom: -0.522

a = 6.907 Å, b = 6.907 Å, c = 6.907 Å
α = 90.00°, β = 90.00°, γ = 90.00°
Space group Fm-3m (No. 225)
One atom of each set of equivalent atoms:
Ca 0.000 0.000 0.000 (multiplicity 4)
Au 0.000 0.000 0.500 (multiplicity 4)
Au 0.250 0.250 0.250 (multiplicity 8)

---

(2)
La3SmYEr: relaxed, GGA-PBE.

Uncorrected energy in eV per cell: -60.7
DFT formation energy in eV per atom: 0.031

a = 8.114 Å, b = 5.213 Å, c = 10.388 Å
α = 90.00°, β = 108.71°, γ = 90.00°
Space group P2_1/m (No. 11)
One atom of each set of equivalent atoms:
La 0.167 0.250 0.044 (multiplicity 2)
La 0.170 0.250 0.540 (multiplicity 2)
La 0.170 0.750 0.791 (multiplicity 2)
Sm 0.172 0.750 0.294 (multiplicity 2)
Y 0.497 0.750 0.127 (multiplicity 2)
Er 0.499 0.250 0.378 (multiplicity 2)